1.
Here is a relaxed CsHgNO crystal from OQMD. Energies are from PBE-GGA.

Cell: 4.480 4.480 10.517 Å, 90.00 90.00 90.00°
Space group P4/nmm (No. 129, origin choice 2)
Symmetry-distinct sites (fractional):
Cs 0.250 0.250 0.162 [2 per cell]
Hg 0.250 0.750 0.500 [2 per cell]
N 0.250 0.250 0.523 [2 per cell]
O 0.250 0.750 0.000 [2 per cell]

- ρ (g/cm3) = 5.72
- excess energy over the best structure of this formula in the dataset (meV per atom) = 803

***

2.
Here is a relaxed CsHgNO crystal from OQMD. Energies are from PBE-GGA.

Cell: 3.684 7.440 6.721 Å, 90.00 90.00 90.00°
Space group Pmc2_1 (No. 26)
Symmetry-distinct sites (fractional):
Cs 0.000 0.208 0.000 [2 per cell]
Hg 0.500 0.332 0.480 [2 per cell]
N 0.500 0.462 0.764 [2 per cell]
O 0.000 0.170 0.467 [2 per cell]

- ρ (g/cm3) = 6.55
- excess energy over the best structure of this formula in the dataset (meV per atom) = 680

***

3.
Here is a relaxed CsHgNO crystal from OQMD. Energies are from PBE-GGA.

Cell: 6.004 9.150 6.002 Å, 90.00 90.00 90.00°
Space group Pca2_1 (No. 29)
Symmetry-distinct sites (fractional):
Cs 0.005 0.149 0.000 [4 per cell]
Hg 0.003 0.589 0.005 [4 per cell]
N 0.250 0.497 0.254 [4 per cell]
O 0.005 0.824 0.999 [4 per cell]

- ρ (g/cm3) = 7.32
- excess energy over the best structure of this formula in the dataset (meV per atom) = 486

***

Question: Which of these has the highest excess energy over the best structure of this formula in the dataset?
Answer: number 1